# Li2MnCrF8

Crystalline Li2MnCrF8 at its relaxed geometry (PBE with a Hubbard U, the Alexandria database).

Unit cell a=5.6585 b=5.6585 c=5.6585 alpha=112.20 beta=112.20 gamma=104.15
With the nearest neighbours (Å) after each atom.
Fractional positions:
Mn1 0.2500 0.7500 0.5000  4 F 1.91
Li1 0.7500 0.2500 0.5000  4 F 1.89
Li2 0.5000 0.5000 0.0000  4 F 1.91
F1 0.9055 0.7040 0.2015  1 Li 1.91, 1 Mn 1.91
F2 0.3487 0.0487 0.3000  1 Li 1.89, 1 Cr 1.92
F3 0.9513 0.6513 0.7000  1 Li 1.89, 1 Cr 1.92
F4 0.7487 0.0487 0.7000  1 Li 1.89, 1 Cr 1.92
F5 0.9513 0.2513 0.3000  1 Li 1.89, 1 Cr 1.92
F6 0.2960 0.0945 0.7985  1 Li 1.91, 1 Mn 1.91
F7 0.5025 0.7040 0.7985  1 Li 1.91, 1 Mn 1.91
F8 0.2960 0.4975 0.2015  1 Li 1.91, 1 Mn 1.91
Cr1 0.0000 0.0000 0.0000  4 F 1.92

Total magnetization (μB/cell): 7.000
Total energy (eV/atom): -5.41